A plane-wave DFT calculation with PBE was carried out for a relaxed structure of BiTeMoI2.

Summary:
ΔE_f (raw) in eV per atom: 0.500
Polymorph energy (0 for the lowest one) in eV per atom: 0.000
Symmetry: No. 123
VASP energy in eV/atom: -3.69

```
BiTeMoI2
1.0
5.510 0.000 0.000
0.000 5.510 0.000
0.000 0.000 5.398
Bi Te Mo I
1 1 1 2
direct
0.000 0.000 0.000 Bi
0.500 0.500 0.000 Te
0.500 0.500 0.500 Mo
0.000 0.500 0.500 I
0.500 0.000 0.500 I
```

A plane-wave DFT calculation with PBE was carried out for a relaxed structure of BiTe2MoI.

Summary:
ΔE_f (raw) in eV per atom: 0.472
Polymorph energy (0 for the lowest one) in eV per atom: 0.000
Symmetry: No. 123
VASP energy in eV/atom: -4.04

```
BiTe2MoI
1.0
5.324 0.000 0.000
0.000 5.324 0.000
0.000 0.000 5.516
Bi Te Mo I
1 2 1 1
direct
0.000 0.000 0.000 Bi
0.000 0.500 0.500 Te
0.500 0.000 0.500 Te
0.500 0.500 0.500 Mo
0.500 0.500 0.000 I
```

A plane-wave DFT calculation with PBE was carried out for a relaxed structure of TiBiMoI2.

Summary:
ΔE_f (raw) in eV per atom: 1.578
Symmetry: No. 123
VASP energy in eV/atom: -3.56

```
TiBiMoI2
1.0
6.246 0.000 0.000
0.000 6.246 0.000
0.000 0.000 5.493
Ti Bi Mo I
1 1 1 2
direct
0.000 0.000 0.000 Ti
0.500 0.500 0.500 Bi
0.500 0.500 0.000 Mo
0.000 0.500 0.500 I
0.500 0.000 0.500 I
```

A plane-wave DFT calculation with PBE was carried out for a relaxed structure of ZrBi2MoI.

Summary:
ΔE_f (raw) in eV per atom: 0.988
Symmetry: No. 123
VASP energy in eV/atom: -4.75

```
ZrBi2MoI
1.0
5.741 0.000 0.000
0.000 5.741 0.000
0.000 0.000 5.572
Zr Bi Mo I
1 2 1 1
direct
0.000 0.000 0.000 Zr
0.000 0.500 0.000 Bi
0.500 0.000 0.000 Bi
0.500 0.500 0.500 Mo
0.000 0.000 0.500 I
```

A plane-wave DFT calculation with PBE was carried out for a relaxed structure of ZrBiMoI2.

Summary:
ΔE_f (raw) in eV per atom: 0.940
Symmetry: No. 123
VASP energy in eV/atom: -4.33

```
ZrBiMoI2
1.0
5.411 0.000 0.000
0.000 5.411 0.000
0.000 0.000 5.570
Zr Bi Mo I
1 1 1 2
direct
0.000 0.000 0.000 Zr
0.500 0.500 0.000 Bi
0.500 0.500 0.500 Mo
0.000 0.500 0.500 I
0.500 0.000 0.500 I
```

A plane-wave DFT calculation with PBE was carried out for a relaxed structure of BiIN2.

Summary:
ΔE_f (raw) in eV per atom: 1.951
Polymorph energy (0 for the lowest one) in eV per atom: 0.906
Symmetry: No. 225
VASP energy in eV/atom: -3.57

```
BiIN2
1.0
0.000 3.196 3.196
3.196 0.000 3.196
3.196 3.196 0.000
Bi I N
1 1 2
direct
0.000 0.000 0.000 Bi
0.500 0.500 0.500 I
0.250 0.250 0.250 N
0.750 0.750 0.750 N
```

A plane-wave DFT calculation with PBE was carried out for a relaxed structure of BiI3N2.

Summary:
ΔE_f (raw) in eV per atom: 0.730
Symmetry: No. 2
VASP energy in eV/atom: -3.47

```
BiI3N2
1.0
4.702 0.000 0.000
0.523 7.216 0.000
0.616 2.114 11.200
Bi I N
2 6 4
direct
0.208 0.040 0.189 Bi
0.792 0.960 0.811 Bi
0.244 0.276 0.925 I
0.248 0.746 0.420 I
0.399 0.667 0.713 I
0.601 0.333 0.287 I
0.752 0.254 0.580 I
0.756 0.724 0.075 I
0.206 0.303 0.276 N
0.273 0.881 0.780 N
0.727 0.119 0.220 N
0.794 0.697 0.724 N
```

A plane-wave DFT calculation with PBE was carried out for a relaxed structure of BiI2N.

Summary:
ΔE_f (raw) in eV per atom: 1.077
Polymorph energy (0 for the lowest one) in eV per atom: 0.369
Symmetry: No. 122
VASP energy in eV/atom: -2.75

```
BiI2N
1.0
-3.423 3.423 5.546
3.423 -3.423 5.546
3.423 3.423 -5.546
Bi I N
2 4 2
direct
0.000 0.000 0.000 Bi
0.750 0.250 0.500 Bi
0.370 0.625 0.245 I
0.375 0.620 0.745 I
0.380 0.125 0.755 I
0.875 0.630 0.255 I
0.250 0.750 0.500 N
0.500 0.500 0.000 N
```